Entry 1:
Computed, not measured: a geometry-optimized CuNi5Te8 structure at the PBE level of DFT.

Computed properties:
The raw formation energy comes out at -0.187 eV per atom.

Cell and atoms, written as CIF:
```
data_CuNi5Te8
_cell_length_a 10.794
_cell_length_b 10.794
_cell_length_c 10.794
_cell_angle_alpha 90.00
_cell_angle_beta 90.00
_cell_angle_gamma 90.00
_symmetry_space_group_name_H-M 'F -4 3 m'
_symmetry_Int_Tables_number 216
_symmetry_space_group_name_Hall 'F -4 2 3'
loop_
_atom_site_label
_atom_site_type_symbol
_atom_site_fract_x
_atom_site_fract_y
_atom_site_fract_z
Cu1 Cu 0.000 0.000 0.000
Ni1 Ni 0.125 0.125 0.375
Ni2 Ni 0.250 0.250 0.750
Te1 Te 0.116 0.116 0.616
Te2 Te 0.136 0.136 0.136
```

Entry 2:
Computed, not measured: a geometry-optimized CuNiTe2 structure at the PBE level of DFT.

Computed properties:
The energy above the most stable polymorph in this dataset comes out at 166 kJ/mol of formula units. The raw formation energy comes out at 0.339 eV per atom.

Cell and atoms, written as CIF:
```
data_CuNiTe2
_cell_length_a 3.759
_cell_length_b 3.759
_cell_length_c 5.824
_cell_angle_alpha 90.00
_cell_angle_beta 90.00
_cell_angle_gamma 90.00
_symmetry_space_group_name_H-M 'P m m m'
_symmetry_Int_Tables_number 47
loop_
_symmetry_equiv_pos_as_xyz
'x,y,z'
'-x,-y,-z'
'-x,-y,z'
'x,y,-z'
'x,-y,-z'
'-x,y,z'
'-x,y,-z'
'x,-y,z'
loop_
_atom_site_label
_atom_site_type_symbol
_atom_site_fract_x
_atom_site_fract_y
_atom_site_fract_z
Cu1 Cu 0.000 0.000 0.000
Ni1 Ni 0.500 0.000 0.500
Te1 Te 0.000 0.500 0.500
Te2 Te 0.500 0.500 0.000
```

Entry 3:
Computed, not measured: a geometry-optimized CuNiTe2 structure at the PBE level of DFT.

Computed properties:
The energy above the most stable polymorph in this dataset comes out at 57 kJ/mol of formula units. The raw formation energy comes out at 0.055 eV per atom.

Cell and atoms, written as CIF:
```
data_CuNiTe2
_cell_length_a 3.8307
_cell_length_b 3.8307
_cell_length_c 23.0462
_cell_angle_alpha 90.00
_cell_angle_beta 90.00
_cell_angle_gamma 120.00
_symmetry_space_group_name_H-M 'R -3 m'
_symmetry_Int_Tables_number 166
_symmetry_space_group_name_Hall '-R 3 2"'
loop_
_atom_site_label
_atom_site_type_symbol
_atom_site_fract_x
_atom_site_fract_y
_atom_site_fract_z
Cu1 Cu 0.0000 0.0000 0.0000
Ni1 Ni 0.0000 0.0000 0.5000
Te1 Te 0.0000 0.0000 0.1072
```

Entry 4:
Computed, not measured: a geometry-optimized CuNiTe2 structure at the PBE level of DFT.

Computed properties:
The energy above the most stable polymorph in this dataset comes out at 173 kJ/mol of formula units. The raw formation energy comes out at 0.357 eV per atom.

Cell and atoms, written as CIF:
```
data_CuNiTe2
_cell_length_a 6.100
_cell_length_b 7.087
_cell_length_c 3.547
_cell_angle_alpha 90.00
_cell_angle_beta 90.00
_cell_angle_gamma 90.00
_symmetry_space_group_name_H-M 'C m m m'
_symmetry_Int_Tables_number 65
_symmetry_space_group_name_Hall '-C 2 2'
loop_
_atom_site_label
_atom_site_type_symbol
_atom_site_fract_x
_atom_site_fract_y
_atom_site_fract_z
Cu1 Cu 0.000 0.000 0.000
Ni1 Ni 0.000 0.500 0.000
Te1 Te 0.250 0.250 0.500
```

Entry 5:
Computed, not measured: a geometry-optimized Cu2NiTe structure at the PBE level of DFT.

Computed properties:
The raw formation energy comes out at 0.160 eV per atom.

Cell and atoms, written as CIF:
```
data_Cu2NiTe
_cell_length_a 4.1690
_cell_length_b 4.1690
_cell_length_c 12.6151
_cell_angle_alpha 90.00
_cell_angle_beta 90.00
_cell_angle_gamma 120.00
_symmetry_space_group_name_H-M 'R 3 m'
_symmetry_Int_Tables_number 160
_symmetry_space_group_name_Hall 'R 3 -2"'
loop_
_atom_site_label
_atom_site_type_symbol
_atom_site_fract_x
_atom_site_fract_y
_atom_site_fract_z
Cu1 Cu 0.0000 0.0000 0.0000
Cu2 Cu 0.0000 0.0000 0.2251
Ni1 Ni 0.0000 0.0000 0.6356
Te1 Te 0.0000 0.0000 0.4373
```

Entry 6:
Computed, not measured: a geometry-optimized CuNi2Te6 structure at the PBE level of DFT.

Computed properties:
The raw formation energy comes out at -0.110 eV per atom.

Cell and atoms, written as CIF:
```
data_CuNi2Te6
_cell_length_a 11.8479
_cell_length_b 11.8479
_cell_length_c 5.3040
_cell_angle_alpha 90.00
_cell_angle_beta 90.00
_cell_angle_gamma 120.00
_symmetry_space_group_name_H-M 'P -3 m 1'
_symmetry_Int_Tables_number 164
_symmetry_space_group_name_Hall '-P 3 2"'
loop_
_atom_site_label
_atom_site_type_symbol
_atom_site_fract_x
_atom_site_fract_y
_atom_site_fract_z
Cu1 Cu 0.0000 0.0000 0.0000
Cu2 Cu 0.3333 0.6667 0.5192
Ni1 Ni 0.0000 0.3343 0.0000
Te1 Te 0.0898 0.5449 0.2702
Te2 Te 0.1143 0.2287 0.2516
Te3 Te 0.2147 0.4295 0.7510
```

- What is the raw formation energy in the first record?
  -0.187 eV per atom

- Which value of raw formation energy does entry 6 give?
  -0.110 eV per atom

- Among the records above, which one has the lowest raw formation energy?
  CuNi5Te8